Here is Ce2PmSb2 after structural relaxation from the Alexandria database. Energies are from PBE.

Cell: 6.180 6.180 12.284 Å, 90.00 90.00 137.09°
Atoms (fractional coordinates):
Ce  0.040  0.960  0.500
Ce  0.324  0.676  0.687
Ce  0.676  0.324  0.187
Ce  0.960  0.040  0.000
Pm  0.344  0.656  0.353
Pm  0.656  0.344  0.853
Sb  0.006  0.994  0.749
Sb  0.260  0.740  0.010
Sb  0.740  0.260  0.510
Sb  0.994  0.006  0.249

Values from the calculation:
SG = Cmc2_1, No. 36
Magnetization = 2.57 μB per formula unit
D(E_F) = 16.6 states/eV/f.u.
Uncorrected formation energy = -0.73 eV/atom
Raw total energy = -5.700 eV per atom

Here is RbBeCdH6 after structural relaxation from the Alexandria database. Energies are from PBE.

Cell: 4.416 4.632 6.025 Å, 77.17 85.85 77.52°
Atoms (fractional coordinates):
Rb  0.000  0.000  0.000
Be  0.176  0.278  0.453
Cd  0.572  0.716  0.559
H  0.051  0.010  0.496
H  0.349  0.341  0.619
H  0.350  0.349  0.224
H  0.450  0.163  0.291
H  0.624  0.638  0.867
H  0.903  0.528  0.366

Values from the calculation:
SG = P1, No. 1
Magnetization = 0.00 μB per formula unit
D(E_F) = 0.6 states/eV/f.u.
Raw total energy = -2.767 eV per atom